[1]
## ZnMo2Pb (PBE-GGA)

Data for ZnMo2Pb after structural relaxation.

Cell: 2.969 2.969 9.554 Å, 90.00 90.00 112.54°
Fractional positions:
Mo 0.000 0.000 0.010
Mo 0.500 0.500 0.213
Pb 0.000 0.000 0.489
Zn 0.500 0.500 0.788

Results
**Excess energy over the best structure of this formula in the dataset**: 123.9 meV per atom
**Space group**: No. 35
**Magnetization**: 0.0 μB per cell
**Formation energy from the elements**: 0.43 eV/atom
**Electronic total energy**: -24.91 eV/cell

[2]
## ZnMo2Pb (PBE-GGA)

Data for ZnMo2Pb after structural relaxation.

Cell: 4.989 4.989 4.989 Å, 130.70 130.70 72.29°
Fractional positions:
Mo 0.250 0.750 0.500
Mo 0.000 0.000 0.000
Zn 0.750 0.250 0.500
Pb 0.500 0.500 0.000

Results
**Excess energy over the best structure of this formula in the dataset**: 261.2 meV per atom
**Space group**: No. 119
**Magnetization**: 0.0 μB per cell
**Formation energy from the elements**: 0.57 eV/atom
**Electronic total energy**: -24.36 eV/cell

Which of these has the lowest excess energy over the best structure of this formula in the dataset?
number 1

What is the electronic total energy in the second record?
-24.36 eV/cell

Which of these has the highest electronic total energy?
number 2